Below is a relaxed structure of RhPb2Cl, with properties calculated at the PBE level.

a b c (Å): 3.471 3.413 7.862
angles (deg): 90.00 90.88 90.00
Fractional positions:
Rh 0.000 0.000 0.000
Pb 0.493 0.500 0.783
Pb 0.507 0.500 0.217
Cl 0.000 0.000 0.500

Raw total energy, eV per atom: -4.395
Energy above the lowest structure with this stoichiometry, eV/atom: 0.004
E_form (uncorrected), kJ/mol of formula units: -93
V, Å³ per atom: 23.28